(1)
Material: CsHgPbBr3
Method: DFT, GGA-PBE
State: relaxed

Values from the calculation:
As for the total magnetization: 0.000 μB per cell. Its space group is C2/m, No. 12. Its uncorrected formation energy is -1.021 eV per atom. Its total DFT energy (no corrections) is -32.02 eV per cell.

```
12
Lattice="5.898 -1.270 -0.102 1.642 5.805 -0.102 1.898 1.142 13.898" Properties=species:S:1:pos:R:3 pbc="T T T"
Cs 6.502 3.911 9.890
Cs 2.937 1.767 3.805
Hg 3.536 4.806 6.847
Hg 5.903 0.871 6.847
Pb 3.045 1.831 12.291
Pb 6.394 3.846 1.404
Br 3.047 1.833 9.462
Br 3.635 4.737 12.113
Br 5.888 0.991 12.113
Br 3.550 4.686 1.582
Br 5.804 0.940 1.582
Br 6.392 3.845 4.232
```

***

(2)
Material: ZnBPt2O
Method: DFT, GGA-PBE
State: relaxed

Values from the calculation:
As for the total magnetization: 1.194 μB per cell. Its space group is P4/mmm, No. 123. Its uncorrected formation energy is 1.629 eV per atom. Its total DFT energy (no corrections) is -16.85 eV per cell.

```
5
Lattice="-0.274 0.629 4.655 1.687 -3.320 0.548 4.197 2.126 -0.041" Properties=species:S:1:pos:R:3 pbc="T T T"
Zn 0.000 0.000 0.000
B 0.844 -1.660 0.274
O 2.805 -0.282 2.581
Pt 2.098 1.063 -0.020
Pt -0.137 0.315 2.327
```

***

(3)
Material: TbGaSb2
Method: DFT, GGA-PBE
State: relaxed

Values from the calculation:
As for the total magnetization: 0.000 μB per cell. Its space group is P4/mmm, No. 123. As for the offset from the most stable computed form: 0 meV/atom. Its uncorrected formation energy is -0.465 eV per atom. Its total DFT energy (no corrections) is -17.76 eV per cell.

```
4
Lattice="-2.049 3.825 0.742 -3.843 -2.361 1.555 1.749 0.076 4.438" Properties=species:S:1:pos:R:3 pbc="T T T"
Sb 0.875 0.038 2.219
Sb -1.922 -1.180 0.778
Tb -2.072 0.770 3.368
Ga -1.024 1.912 0.371
```

***

(4)
Material: Cr2IrRh
Method: DFT, GGA-PBE
State: relaxed

Values from the calculation:
As for the total magnetization: 0.000 μB per cell. Its space group is Cmmm, No. 65. Its total DFT energy (no corrections) is -35.96 eV per cell.

```
4
Lattice="-3.579 2.326 -1.576 0.777 -3.514 -2.785 -1.628 -1.516 1.460" Properties=species:S:1:pos:R:3 pbc="T T T"
Cr 0.000 0.000 0.000
Cr -1.401 -0.594 -2.181
Ir -2.604 0.405 -0.058
Rh -0.426 -2.515 -0.662
```